Model w:
3
Lattice="3.022 0.000 0.000 0.000 3.022 0.000 -1.511 -1.511 5.267" Properties=species:S:1:pos:R:3 comment="AcCrC (PBE, relaxed)" n_ef_per_ev_atom=0.602 pbc="T T T"
Cr 0.000 0.000 2.831
Ac 0.000 0.000 0.004
C 1.511 1.511 2.432

Model x:
6
Lattice="-0.866 1.255 -3.128 2.895 -1.895 0.374 -2.323 -10.958 -3.753" Properties=species:S:1:pos:R:3 comment="AcCrC (PBE, relaxed)" n_ef_per_ev_atom=0.730 pbc="T T T"
Ac 0.233 -10.238 -4.172
Ac -0.526 -1.360 -2.336
C -1.331 -6.157 -4.038
C 1.037 -5.440 -2.470
Cr 0.023 -7.054 -2.836
Cr -0.316 -4.543 -3.671

Most stable: model x. Least stable: model w.

Model w:
3
Lattice="-1.296 2.866 1.074 -2.587 -0.402 -2.048 -1.202 -4.373 5.073" Properties=species:S:1:pos:R:3 comment="AcErC (PBE, relaxed)" n_ef_per_ev_atom=0.592 pbc="T T T"
Ac -4.775 -1.599 3.647
C -2.035 -2.034 2.969
Er -3.360 -0.185 1.582

Model x:
6
Lattice="10.073 0.000 0.000 0.000 4.273 0.000 -5.037 -2.137 5.334" Properties=species:S:1:pos:R:3 comment="AcErC (PBE, relaxed)" n_ef_per_ev_atom=1.321 pbc="T T T"
C 5.037 0.000 3.793
C 0.000 2.137 1.541
Ac 8.206 2.137 0.000
Ac 1.867 2.137 0.000
Er 5.037 0.000 1.703
Er 0.000 2.137 3.631

Most stable: model w. Least stable: model x.

Model w:
4
Lattice="-0.640 3.617 1.255 0.241 0.811 3.788 6.695 2.943 0.933" Properties=species:S:1:pos:R:3 comment="Ac2CF (PBE, relaxed)" n_ef_per_ev_atom=0.516 pbc="T T T"
Ac 5.187 2.619 1.098
Ac 1.325 1.789 1.521
C 6.415 5.893 4.297
F 3.212 3.700 2.981

Model x:
4
Lattice="3.972 0.000 0.000 1.986 3.440 0.000 1.986 1.147 6.593" Properties=species:S:1:pos:R:3 comment="Ac2CF (PBE, relaxed)" n_ef_per_ev_atom=0.324 pbc="T T T"
Ac 1.986 1.147 1.500
Ac 5.958 3.440 5.093
C 0.000 0.000 0.000
F 3.972 2.293 3.297

Model y:
4
Lattice="-2.811 1.154 1.548 -0.544 -3.097 1.322 3.775 1.717 5.578" Properties=species:S:1:pos:R:3 comment="Ac2CF (PBE, relaxed)" n_ef_per_ev_atom=0.423 pbc="T T T"
Ac 2.937 1.336 4.339
Ac 0.838 0.381 1.238
C -1.678 -0.971 1.435
F 0.210 -0.113 4.223

Most stable: model x. Least stable: model y.

Model w:
3
Lattice="-0.630 1.140 3.522 1.693 -3.292 -0.634 6.057 3.100 0.079" Properties=species:S:1:pos:R:3 comment="AcGdC (PBE, relaxed)" n_ef_per_ev_atom=0.847 pbc="T T T"
Ac 0.668 0.342 0.009
Gd 4.152 -0.160 0.794
C 2.300 0.766 2.165

Model x:
3
Lattice="3.360 0.000 0.000 0.000 3.360 0.000 -1.680 -1.680 6.500" Properties=species:S:1:pos:R:3 comment="AcGdC (PBE, relaxed)" n_ef_per_ev_atom=0.539 pbc="T T T"
Ac 1.680 1.680 5.821
Gd 1.680 1.680 2.927
C 0.000 0.000 4.252

Most stable: model w. Least stable: model x.

Model w:
14
Lattice="7.464 0.000 -0.074 0.000 7.168 0.000 -2.831 0.000 8.800" Properties=species:S:1:pos:R:3 comment="Ac4Ge2C (PBE, relaxed)" n_ef_per_ev_atom=0.177 pbc="T T T"
Ac 2.925 3.619 2.164
Ac -2.113 5.376 8.016
Ac 6.746 1.792 0.710
Ac 2.925 7.132 2.164
Ac 5.246 1.792 5.483
Ac 1.708 0.036 6.563
Ac 1.708 3.548 6.563
Ac -0.613 5.376 3.243
Ge 5.214 5.376 0.425
Ge -0.581 1.792 8.301
Ge 0.599 1.792 3.827
Ge 4.034 5.376 4.899
C 1.323 5.376 1.655
C 3.310 1.792 7.072

Model x:
7
Lattice="-0.957 -4.242 2.878 4.285 0.945 2.818 -6.188 6.281 2.476" Properties=species:S:1:pos:R:3 comment="Ac4Ge2C (PBE, relaxed)" n_ef_per_ev_atom=0.471 pbc="T T T"
C 0.000 0.000 0.000
Ac -1.277 1.363 6.309
Ac -1.584 1.621 1.864
Ac 2.142 0.473 1.409
Ac -0.478 -2.121 1.439
Ge 0.447 -0.403 4.280
Ge -3.308 3.387 3.893

Most stable: model w. Least stable: model x.

Model w:
6
Lattice="7.115 0.402 0.140 3.782 3.606 -0.966 1.271 -3.076 8.022" Properties=species:S:1:pos:R:3 comment="AcHgC (PBE, relaxed)" n_ef_per_ev_atom=0.493 pbc="T T T"
C 4.103 -0.522 5.812
C 3.164 -1.414 6.054
Ac 7.307 2.056 2.467
Ac 5.164 -2.106 7.694
Hg 10.911 2.332 3.006
Hg 8.310 -1.665 7.045

Model x:
6
Lattice="4.125 0.000 0.000 -2.063 3.981 -1.105 0.000 -0.376 9.600" Properties=species:S:1:pos:R:3 comment="AcHgC (PBE, relaxed)" n_ef_per_ev_atom=0.427 pbc="T T T"
Ac 0.000 0.382 7.786
Ac 2.063 3.222 0.710
Hg 0.000 2.382 3.349
Hg 2.063 1.222 5.147
C 2.063 0.655 0.119
C 0.000 2.949 8.377

Most stable: model x. Least stable: model w.

Model w:
10
Lattice="4.110 0.000 0.000 0.000 8.612 -1.583 0.000 0.185 9.152" Properties=species:S:1:pos:R:3 comment="Ac3HgC (PBE, relaxed)" n_ef_per_ev_atom=0.881 pbc="T T T"
Ac 3.082 5.641 2.555
Ac 1.027 3.156 5.014
Ac 3.082 2.435 8.077
Ac 1.027 8.234 4.588
Ac 1.027 6.362 -0.508
Ac 3.082 0.563 2.981
Hg 1.027 3.140 1.430
Hg 3.082 5.657 6.140
C 1.027 7.356 1.946
C 3.082 1.441 5.623

Model x:
5
Lattice="5.446 0.000 0.000 0.000 5.446 0.000 0.000 0.000 5.446" Properties=species:S:1:pos:R:3 comment="Ac3HgC (PBE, relaxed)" n_ef_per_ev_atom=0.928 pbc="T T T"
C 0.000 0.000 0.000
Ac 0.000 2.723 0.000
Ac 0.000 0.000 2.723
Ac 2.723 0.000 0.000
Hg 2.723 2.723 2.723

Most stable: model w. Least stable: model x.

Model w:
12
Lattice="3.731 0.000 0.000 0.000 6.857 0.000 0.000 0.000 12.407" Properties=species:S:1:pos:R:3 comment="AcHoC (PBE, relaxed)" n_ef_per_ev_atom=0.521 pbc="T T T"
C 0.941 5.679 11.031
C 2.807 4.606 1.376
C 2.790 2.251 7.580
C 0.925 1.178 4.827
Ac 2.795 2.274 3.124
Ac 0.930 1.154 9.283
Ac 0.936 5.703 3.080
Ac 2.801 4.583 9.327
Ho 2.806 6.549 12.350
Ho 0.941 3.736 0.057
Ho 0.925 3.121 6.260
Ho 2.791 0.308 6.147

Model x:
3
Lattice="-2.924 -0.016 1.596 -1.028 -2.531 -1.908 4.325 -2.895 4.420" Properties=species:S:1:pos:R:3 comment="AcHoC (PBE, relaxed)" n_ef_per_ev_atom=0.582 pbc="T T T"
C 1.526 -2.707 2.769
Ac 0.138 -5.024 3.682
Ho -0.917 -3.151 1.766

Most stable: model w. Least stable: model x.

Model w:
3
Lattice="-3.784 2.749 -1.105 0.246 -1.069 -3.500 -2.070 -1.901 2.357" Properties=species:S:1:pos:R:3 comment="AcIrC (PBE, relaxed)" n_ef_per_ev_atom=0.797 pbc="T T T"
Ac -3.049 0.487 -2.285
Ir -1.929 -1.165 0.220
C -0.629 0.457 -0.184

Model x:
3
Lattice="3.800 -0.351 0.000 -1.958 3.275 0.000 -0.921 -1.462 5.835" Properties=species:S:1:pos:R:3 comment="AcIrC (PBE, relaxed)" n_ef_per_ev_atom=0.804 pbc="T T T"
C 0.000 0.000 0.450
Ac 0.000 0.000 4.066
Ir 0.921 1.462 1.320

Most stable: model w. Least stable: model x.

Model w:
3
Lattice="3.303 0.000 0.000 0.000 3.303 0.000 -1.651 -1.651 6.313" Properties=species:S:1:pos:R:3 comment="AcLuC (PBE, relaxed)" n_ef_per_ev_atom=0.607 pbc="T T T"
Ac 1.651 1.651 5.719
Lu 1.651 1.651 2.856
C 0.000 0.000 4.052

Model x:
3
Lattice="3.693 0.000 0.000 -1.846 3.198 0.000 0.000 0.000 6.653" Properties=species:S:1:pos:R:3 comment="AcLuC (PBE, relaxed)" n_ef_per_ev_atom=0.897 pbc="T T T"
Ac 0.000 0.000 0.704
Lu 0.000 2.132 3.522
C 1.846 1.066 2.426

Most stable: model x. Least stable: model w.

Model w:
4
Lattice="-3.104 -0.283 -2.825 -1.713 -2.806 2.163 -1.467 3.424 1.269" Properties=species:S:1:pos:R:3 comment="AcMnC2 (PBE, relaxed)" n_ef_per_ev_atom=0.294 pbc="T T T"
Ac -1.469 3.366 1.277
Mn -3.169 -0.510 0.400
C -2.617 1.331 -0.389
C -3.567 1.516 0.635

Model x:
4
Lattice="3.439 0.000 0.000 1.719 2.978 0.000 1.719 0.993 5.520" Properties=species:S:1:pos:R:3 comment="AcMnC2 (PBE, relaxed)" n_ef_per_ev_atom=0.637 pbc="T T T"
Ac 3.439 1.985 2.760
Mn 0.000 0.000 0.000
C 1.719 0.993 0.850
C 5.158 2.978 4.670

Most stable: model w. Least stable: model x.

Model w:
16
Lattice="-1.851 5.057 -2.025 -6.432 -2.408 -0.134 -1.487 3.663 5.553" Properties=species:S:1:pos:R:3 comment="AcMoC2 (PBE, relaxed)" n_ef_per_ev_atom=0.199 pbc="T T T"
Ac -3.233 0.609 0.490
Ac -7.646 2.411 3.874
Ac -2.124 3.899 -0.480
Ac -6.538 5.701 2.904
Mo -3.546 6.175 1.691
Mo -3.735 3.229 2.680
Mo -6.225 0.136 1.704
Mo -6.035 3.082 0.714
C -5.899 1.073 -0.160
C -6.827 3.601 -1.172
C -1.858 2.624 2.062
C -2.943 2.710 4.567
C -7.912 3.687 1.332
C -5.230 1.816 2.381
C -3.871 5.238 3.554
C -4.540 4.495 1.013

Model x:
4
Lattice="-2.063 -2.065 1.631 -2.361 -1.672 -1.676 2.424 -5.851 -0.914" Properties=species:S:1:pos:R:3 comment="AcMoC2 (PBE, relaxed)" n_ef_per_ev_atom=0.518 pbc="T T T"
C -0.746 -2.106 -0.183
C -1.254 -7.481 -0.776
Ac -1.000 -4.794 -0.479
Mo 0.000 0.000 0.000

Most stable: model w. Least stable: model x.